No. 1
! RbGaI2O8 | Alexandria | PBE | relaxed; values from VASP
&SYSTEM
  ibrav = 0, nat = 12, ntyp = 4
/
ATOMIC_SPECIES
Rb 85.47 Rb.upf
Ga 69.72 Ga.upf
I 126.90 I.upf
O 16.00 O.upf
CELL_PARAMETERS angstrom
5.365 -2.871 0.000
5.365 2.871 0.000
-2.321 0.000 6.672
ATOMIC_POSITIONS angstrom
Rb 0.000 0.000 0.000
Ga 4.204 0.000 3.336
I 0.770 0.000 4.339
I 7.639 0.000 2.333
O 3.459 1.415 2.049
O 0.917 0.000 2.562
O 4.950 1.415 4.624
O 2.696 0.000 4.693
O 5.713 0.000 1.979
O 3.459 -1.415 2.049
O 7.492 0.000 4.110
O 4.950 -1.415 4.624
! * energy relative to the elements, uncorrected: -586 meV per atom
! * space-group type: C2/m, No. 12
! * energy: -4.483 eV per atom



No. 2
! GaReI2O | Alexandria | PBE | relaxed; values from VASP
&SYSTEM
  ibrav = 0, nat = 5, ntyp = 4
/
ATOMIC_SPECIES
Ga 69.72 Ga.upf
Re 186.21 Re.upf
I 126.90 I.upf
O 16.00 O.upf
CELL_PARAMETERS angstrom
5.815 0.000 0.000
0.000 5.815 0.000
0.000 0.000 3.581
ATOMIC_POSITIONS angstrom
Ga 0.000 0.000 0.000
Re 2.908 2.908 1.790
I 0.000 2.908 0.000
I 2.908 0.000 0.000
O 0.000 0.000 1.790
! * energy above the most stable polymorph in this dataset: 80.19 kJ per mole of atoms
! * energy relative to the elements, uncorrected: 667 meV per atom
! * space-group type: P4/mmm, No. 123
! * energy: -4.040 eV per atom



No. 3
! GaReI2O | Alexandria | PBE | relaxed; values from VASP
&SYSTEM
  ibrav = 0, nat = 5, ntyp = 4
/
ATOMIC_SPECIES
Ga 69.72 Ga.upf
Re 186.21 Re.upf
I 126.90 I.upf
O 16.00 O.upf
CELL_PARAMETERS angstrom
5.691 0.000 0.000
0.000 5.691 0.000
0.000 0.000 3.799
ATOMIC_POSITIONS angstrom
Ga 0.000 0.000 0.000
Re 2.845 2.845 1.899
I 0.000 2.845 1.899
I 2.845 0.000 1.899
O 2.845 2.845 0.000
! * energy above the most stable polymorph in this dataset: 0.00 kJ per mole of atoms
! * energy relative to the elements, uncorrected: -164 meV per atom
! * space-group type: P4/mmm, No. 123
! * energy: -4.871 eV per atom



No. 4
! GaRhIO2 | Alexandria | PBE | relaxed; values from VASP
&SYSTEM
  ibrav = 0, nat = 5, ntyp = 4
/
ATOMIC_SPECIES
Ga 69.72 Ga.upf
Rh 102.91 Rh.upf
I 126.90 I.upf
O 16.00 O.upf
CELL_PARAMETERS angstrom
3.759 0.000 0.000
0.000 3.759 0.000
0.000 0.000 6.791
ATOMIC_POSITIONS angstrom
Ga 0.000 0.000 0.000
Rh 1.880 1.880 3.396
I 0.000 0.000 3.396
O 0.000 1.880 0.000
O 1.880 0.000 0.000
! * energy above the most stable polymorph in this dataset: 0.00 kJ per mole of atoms
! * energy relative to the elements, uncorrected: -133 meV per atom
! * space-group type: P4/mmm, No. 123
! * energy: -4.502 eV per atom



No. 5
! GaRhIO2 | Alexandria | PBE | relaxed; values from VASP
&SYSTEM
  ibrav = 0, nat = 5, ntyp = 4
/
ATOMIC_SPECIES
Ga 69.72 Ga.upf
Rh 102.91 Rh.upf
I 126.90 I.upf
O 16.00 O.upf
CELL_PARAMETERS angstrom
4.044 0.000 0.000
0.000 4.044 0.000
0.000 0.000 5.689
ATOMIC_POSITIONS angstrom
Ga 0.000 0.000 0.000
Rh 2.022 2.022 2.845
I 2.022 2.022 0.000
O 0.000 2.022 2.845
O 2.022 0.000 2.845
! * energy above the most stable polymorph in this dataset: 8.13 kJ per mole of atoms
! * energy relative to the elements, uncorrected: -49 meV per atom
! * space-group type: P4/mmm, No. 123
! * energy: -4.418 eV per atom



No. 6
! GaRuI2O | Alexandria | PBE | relaxed; values from VASP
&SYSTEM
  ibrav = 0, nat = 5, ntyp = 4
/
ATOMIC_SPECIES
Ga 69.72 Ga.upf
Ru 101.07 Ru.upf
I 126.90 I.upf
O 16.00 O.upf
CELL_PARAMETERS angstrom
5.529 0.000 0.000
0.000 5.529 0.000
0.000 0.000 3.535
ATOMIC_POSITIONS angstrom
Ga 0.000 0.000 0.000
Ru 2.764 2.764 1.768
I 0.000 2.764 0.000
I 2.764 0.000 0.000
O 0.000 0.000 1.768
! * energy above the most stable polymorph in this dataset: 56.44 kJ per mole of atoms
! * energy relative to the elements, uncorrected: 353 meV per atom
! * space-group type: P4/mmm, No. 123
! * energy: -3.719 eV per atom



No. 7
! GaRuIO2 | Alexandria | PBE | relaxed; values from VASP
&SYSTEM
  ibrav = 0, nat = 5, ntyp = 4
/
ATOMIC_SPECIES
Ga 69.72 Ga.upf
Ru 101.07 Ru.upf
I 126.90 I.upf
O 16.00 O.upf
CELL_PARAMETERS angstrom
3.778 0.000 0.000
0.000 3.778 0.000
0.000 0.000 6.550
ATOMIC_POSITIONS angstrom
Ga 0.000 0.000 0.000
Ru 1.889 1.889 3.275
I 0.000 0.000 3.275
O 0.000 1.889 0.000
O 1.889 0.000 0.000
! * energy above the most stable polymorph in this dataset: 30.45 kJ per mole of atoms
! * energy relative to the elements, uncorrected: 106 meV per atom
! * space-group type: P4/mmm, No. 123
! * energy: -4.648 eV per atom



No. 8
! GaRuI2O | Alexandria | PBE | relaxed; values from VASP
&SYSTEM
  ibrav = 0, nat = 5, ntyp = 4
/
ATOMIC_SPECIES
Ga 69.72 Ga.upf
Ru 101.07 Ru.upf
I 126.90 I.upf
O 16.00 O.upf
CELL_PARAMETERS angstrom
5.598 0.000 0.000
0.000 5.598 0.000
0.000 0.000 3.784
ATOMIC_POSITIONS angstrom
Ga 0.000 0.000 0.000
Ru 2.799 2.799 1.892
I 0.000 2.799 1.892
I 2.799 0.000 1.892
O 2.799 2.799 0.000
! * energy above the most stable polymorph in this dataset: 0.00 kJ per mole of atoms
! * energy relative to the elements, uncorrected: -232 meV per atom
! * space-group type: P4/mmm, No. 123
! * energy: -4.304 eV per atom



No. 9
! GaRuIO2 | Alexandria | PBE | relaxed; values from VASP
&SYSTEM
  ibrav = 0, nat = 5, ntyp = 4
/
ATOMIC_SPECIES
Ga 69.72 Ga.upf
Ru 101.07 Ru.upf
I 126.90 I.upf
O 16.00 O.upf
CELL_PARAMETERS angstrom
3.964 0.000 0.000
0.000 3.964 0.000
0.000 0.000 5.830
ATOMIC_POSITIONS angstrom
Ga 0.000 0.000 0.000
Ru 1.982 1.982 2.915
I 1.982 1.982 0.000
O 0.000 1.982 2.915
O 1.982 0.000 2.915
! * energy above the most stable polymorph in this dataset: 0.00 kJ per mole of atoms
! * energy relative to the elements, uncorrected: -209 meV per atom
! * space-group type: P4/mmm, No. 123
! * energy: -4.963 eV per atom



No. 10
! GaSIO2 | Alexandria | PBE | relaxed; values from VASP
&SYSTEM
  ibrav = 0, nat = 5, ntyp = 4
/
ATOMIC_SPECIES
Ga 69.72 Ga.upf
S 32.06 S.upf
I 126.90 I.upf
O 16.00 O.upf
CELL_PARAMETERS angstrom
3.774 0.000 0.000
0.000 3.774 0.000
0.000 0.000 7.575
ATOMIC_POSITIONS angstrom
Ga 0.000 0.000 0.000
S 1.887 1.887 3.788
I 0.000 0.000 3.788
O 0.000 1.887 0.000
O 1.887 0.000 0.000
! * energy relative to the elements, uncorrected: -170 meV per atom
! * space-group type: P4/mmm, No. 123
! * energy: -3.894 eV per atom



No. 11
! GaSIO2 | Alexandria | PBE | relaxed; values from VASP
&SYSTEM
  ibrav = 0, nat = 5, ntyp = 4
/
ATOMIC_SPECIES
Ga 69.72 Ga.upf
S 32.06 S.upf
I 126.90 I.upf
O 16.00 O.upf
CELL_PARAMETERS angstrom
3.941 0.000 0.000
0.000 3.941 0.000
0.000 0.000 5.577
ATOMIC_POSITIONS angstrom
Ga 0.000 0.000 0.000
S 1.971 1.971 2.788
I 1.971 1.971 0.000
O 0.000 1.971 2.788
O 1.971 0.000 2.788
! * energy relative to the elements, uncorrected: 284 meV per atom
! * space-group type: P4/mmm, No. 123
! * energy: -3.440 eV per atom



No. 12
! GaSbIO2 | Alexandria | PBE | relaxed; values from VASP
&SYSTEM
  ibrav = 0, nat = 5, ntyp = 4
/
ATOMIC_SPECIES
Ga 69.72 Ga.upf
Sb 121.76 Sb.upf
I 126.90 I.upf
O 16.00 O.upf
CELL_PARAMETERS angstrom
4.166 0.000 0.000
0.000 4.166 0.000
0.000 0.000 5.320
ATOMIC_POSITIONS angstrom
Ga 0.000 0.000 0.000
Sb 2.083 2.083 2.660
I 0.000 0.000 2.660
O 0.000 2.083 0.000
O 2.083 0.000 0.000
! * energy above the most stable polymorph in this dataset: 38.85 kJ per mole of atoms
! * energy relative to the elements, uncorrected: -50 meV per atom
! * space-group type: P4/mmm, No. 123
! * energy: -3.774 eV per atom



No. 13
! GaSbIO2 | Alexandria | PBE | relaxed; values from VASP
&SYSTEM
  ibrav = 0, nat = 5, ntyp = 4
/
ATOMIC_SPECIES
Ga 69.72 Ga.upf
Sb 121.76 Sb.upf
I 126.90 I.upf
O 16.00 O.upf
CELL_PARAMETERS angstrom
4.188 0.000 0.000
0.000 4.188 0.000
0.000 0.000 6.482
ATOMIC_POSITIONS angstrom
Ga 0.000 0.000 0.000
Sb 2.094 2.094 3.241
I 2.094 2.094 0.000
O 0.000 2.094 3.241
O 2.094 0.000 3.241
! * energy above the most stable polymorph in this dataset: 0.00 kJ per mole of atoms
! * energy relative to the elements, uncorrected: -453 meV per atom
! * space-group type: P4/mmm, No. 123
! * energy: -4.176 eV per atom



No. 14
! GaSeI2O | Alexandria | PBE | relaxed; values from VASP
&SYSTEM
  ibrav = 0, nat = 5, ntyp = 4
/
ATOMIC_SPECIES
Ga 69.72 Ga.upf
Se 78.96 Se.upf
I 126.90 I.upf
O 16.00 O.upf
CELL_PARAMETERS angstrom
6.009 0.000 0.000
0.000 6.009 0.000
0.000 0.000 3.862
ATOMIC_POSITIONS angstrom
Ga 0.000 0.000 0.000
Se 3.004 3.004 1.931
I 0.000 3.004 1.931
I 3.004 0.000 1.931
O 3.004 3.004 0.000
! * energy above the most stable polymorph in this dataset: 0.00 kJ per mole of atoms
! * energy relative to the elements, uncorrected: -94 meV per atom
! * space-group type: P4/mmm, No. 123
! * energy: -3.008 eV per atom



No. 15
! GaSeI2O | Alexandria | PBE | relaxed; values from VASP
&SYSTEM
  ibrav = 0, nat = 5, ntyp = 4
/
ATOMIC_SPECIES
Ga 69.72 Ga.upf
Se 78.96 Se.upf
I 126.90 I.upf
O 16.00 O.upf
CELL_PARAMETERS angstrom
5.838 0.000 0.000
0.000 5.838 0.000
0.000 0.000 3.585
ATOMIC_POSITIONS angstrom
Ga 0.000 0.000 0.000
Se 2.919 2.919 1.792
I 0.000 2.919 0.000
I 2.919 0.000 0.000
O 0.000 0.000 1.792
! * energy above the most stable polymorph in this dataset: 0.29 kJ per mole of atoms
! * energy relative to the elements, uncorrected: -91 meV per atom
! * space-group type: P4/mmm, No. 123
! * energy: -3.005 eV per atom



No. 16
! GaSiI2O | Alexandria | PBE | relaxed; values from VASP
&SYSTEM
  ibrav = 0, nat = 5, ntyp = 4
/
ATOMIC_SPECIES
Ga 69.72 Ga.upf
Si 28.09 Si.upf
I 126.90 I.upf
O 16.00 O.upf
CELL_PARAMETERS angstrom
5.787 0.000 0.000
0.000 5.787 0.000
0.000 0.000 3.646
ATOMIC_POSITIONS angstrom
Ga 0.000 0.000 0.000
Si 2.893 2.893 1.823
I 0.000 2.893 0.000
I 2.893 0.000 0.000
O 0.000 0.000 1.823
! * energy above the most stable polymorph in this dataset: 42.12 kJ per mole of atoms
! * energy relative to the elements, uncorrected: -29 meV per atom
! * space-group type: P4/mmm, No. 123
! * energy: -3.330 eV per atom



No. 17
! GaSiI2O | Alexandria | PBE | relaxed; values from VASP
&SYSTEM
  ibrav = 0, nat = 5, ntyp = 4
/
ATOMIC_SPECIES
Ga 69.72 Ga.upf
Si 28.09 Si.upf
I 126.90 I.upf
O 16.00 O.upf
CELL_PARAMETERS angstrom
5.853 0.000 0.000
0.000 5.853 0.000
0.000 0.000 3.578
ATOMIC_POSITIONS angstrom
Ga 0.000 0.000 0.000
Si 2.927 2.927 1.789
I 0.000 2.927 1.789
I 2.927 0.000 1.789
O 2.927 2.927 0.000
! * energy above the most stable polymorph in this dataset: 0.00 kJ per mole of atoms
! * energy relative to the elements, uncorrected: -465 meV per atom
! * space-group type: P4/mmm, No. 123
! * energy: -3.767 eV per atom



No. 18
! SmGa2IO8 | Alexandria | PBE | relaxed; values from VASP
&SYSTEM
  ibrav = 0, nat = 12, ntyp = 4
/
ATOMIC_SPECIES
Sm 150.36 Sm.upf
Ga 69.72 Ga.upf
I 126.90 I.upf
O 16.00 O.upf
CELL_PARAMETERS angstrom
3.579 -3.155 0.000
3.579 3.155 0.000
-1.092 0.000 6.728
ATOMIC_POSITIONS angstrom
Sm 0.000 0.000 0.000
Ga 2.360 0.000 5.239
Ga 3.707 0.000 1.488
I -0.546 0.000 3.364
O 3.194 1.863 1.932
O 2.872 1.863 4.795
O 1.310 0.000 3.588
O 2.325 0.000 0.064
O 3.741 0.000 6.664
O 4.757 0.000 3.140
O 3.194 -1.863 1.932
O 2.872 -1.863 4.795
! * energy relative to the elements, uncorrected: -1473 meV per atom
! * space-group type: C2/m, No. 12
! * energy: -5.806 eV per atom



No. 19
! Ga2SnIO | Alexandria | PBE | relaxed; values from VASP
&SYSTEM
  ibrav = 0, nat = 5, ntyp = 4
/
ATOMIC_SPECIES
Ga 69.72 Ga.upf
Sn 118.71 Sn.upf
I 126.90 I.upf
O 16.00 O.upf
CELL_PARAMETERS angstrom
5.937 0.000 0.000
0.000 5.937 0.000
0.000 0.000 5.960
ATOMIC_POSITIONS angstrom
Ga 0.000 2.969 0.000
Ga 2.969 0.000 0.000
Sn 0.000 0.000 2.980
I 0.000 0.000 0.000
O 2.969 2.969 2.980
! * energy relative to the elements, uncorrected: 1051 meV per atom
! * space-group type: P4/mmm, No. 123
! * energy: -2.262 eV per atom



No. 20
! SrGa2IO8 | Alexandria | PBE | relaxed; values from VASP
&SYSTEM
  ibrav = 0, nat = 12, ntyp = 4
/
ATOMIC_SPECIES
Sr 87.62 Sr.upf
Ga 69.72 Ga.upf
I 126.90 I.upf
O 16.00 O.upf
CELL_PARAMETERS angstrom
4.553 0.000 0.000
-0.017 4.718 0.000
-0.035 -0.967 7.414
ATOMIC_POSITIONS angstrom
Sr 0.000 0.000 0.000
Ga 2.145 1.841 5.165
Ga 2.356 1.909 2.249
I -0.018 -0.484 3.707
O 0.848 0.477 2.352
O 0.831 0.383 5.192
O 1.347 2.838 3.664
O 2.085 2.366 6.904
O 2.416 1.384 0.510
O 3.154 0.913 3.750
O 3.670 3.368 2.222
O 3.654 3.273 5.062
! * energy relative to the elements, uncorrected: -1218 meV per atom
! * space-group type: P-1, No. 2
! * energy: -5.297 eV per atom



Computed volume (Å³/cell) in order:
205.6, 121.1, 123.0, 96.0, 93.0, 108.0, 93.5, 118.6, 91.6, 107.9, 86.6, 92.3, 113.7, 139.4, 122.2, 122.1, 122.6, 151.9, 210.1, 159.3